# Be2Cu3Si2 (PBE, relaxed)
# * uncorrected energy: -87.191 eV for the cell shown
data_Be2Cu3Si2
_chemical_formula_sum 'Be6 Cu9 Si6'
_cell_length_a 3.8790
_cell_length_b 3.8790
_cell_length_c 18.9088
_cell_angle_alpha 90.00
_cell_angle_beta 90.00
_cell_angle_gamma 120.00
_symmetry_space_group_name_H-M 'R 3 m'
_symmetry_Int_Tables_number 160
_symmetry_space_group_name_Hall 'R 3 -2"'
loop_
_atom_site_label
_atom_site_type_symbol
_atom_site_fract_x
_atom_site_fract_y
_atom_site_fract_z
Be1 Be 0.0000 0.0000 0.0000
Be2 Be 0.0000 0.0000 0.4841
Cu1 Cu 0.0000 0.0000 0.1205
Cu2 Cu 0.0000 0.0000 0.6207
Cu3 Cu 0.0000 0.0000 0.8698
Si1 Si 0.0000 0.0000 0.2541
Si2 Si 0.0000 0.0000 0.7418